(1)
{
  "formula": "NaBeCoTe",
  "functional": "GGA-PBE",
  "state": "relaxed",
  "lattice": [[-1.768, -3.015, 2.750], [-2.566, 1.314, 3.387], [-4.375, -0.794, -0.087]],
  "species": ["Be", "Co", "Na", "Te"],
  "fractional_positions": [[0.000, 0.000, 0.000], [0.250, 0.250, 0.250], [0.750, 0.750, 0.750], [0.500, 0.500, 0.500]],
  "e_above_lowest_polymorph_kj_per_mol_atoms": 0.0
}

***

(2)
{
  "formula": "BeNb2Co3",
  "functional": "GGA-PBE",
  "state": "relaxed",
  "lattice": [[4.808, 0.000, 0.000], [-2.404, 4.164, 0.000], [0.000, 0.000, 7.322]],
  "species": ["Be", "Be", "Co", "Co", "Co", "Co", "Co", "Co", "Nb", "Nb", "Nb", "Nb"],
  "fractional_positions": [[0.000, 0.000, 0.000], [0.000, 0.000, 0.500], [0.165, 0.331, 0.250], [0.165, 0.835, 0.250], [0.669, 0.835, 0.250], [0.331, 0.165, 0.750], [0.835, 0.165, 0.750], [0.835, 0.669, 0.750], [0.667, 0.333, 0.057], [0.667, 0.333, 0.443], [0.333, 0.667, 0.557], [0.333, 0.667, 0.943]],
  "total_energy_ev_per_atom": -7.78
}

***

(3)
{
  "formula": "Be2NbCo",
  "functional": "GGA-PBE",
  "state": "relaxed",
  "lattice": [[0.000, 2.823, 2.823], [2.823, 0.000, 2.823], [2.823, 2.823, 0.000]],
  "species": ["Be", "Be", "Co", "Nb"],
  "fractional_positions": [[0.000, 0.000, 0.000], [0.750, 0.750, 0.750], [0.250, 0.250, 0.250], [0.500, 0.500, 0.500]],
  "total_energy_ev_per_atom": -6.34
}

***

(4)
{
  "formula": "BeNbCoPb",
  "functional": "GGA-PBE",
  "state": "relaxed",
  "lattice": [[0.000, 3.119, 3.119], [3.119, 0.000, 3.119], [3.119, 3.119, 0.000]],
  "species": ["Be", "Co", "Nb", "Pb"],
  "fractional_positions": [[0.250, 0.250, 0.250], [0.750, 0.750, 0.750], [0.500, 0.500, 0.500], [0.000, 0.000, 0.000]],
  "e_above_lowest_polymorph_kj_per_mol_atoms": 0.0
}

***

(5)
{
  "formula": "BeNbCoPb",
  "functional": "GGA-PBE",
  "state": "relaxed",
  "lattice": [[0.000, 3.164, 3.164], [3.164, 0.000, 3.164], [3.164, 3.164, 0.000]],
  "species": ["Be", "Co", "Nb", "Pb"],
  "fractional_positions": [[0.500, 0.500, 0.500], [0.750, 0.750, 0.750], [0.250, 0.250, 0.250], [0.000, 0.000, 0.000]],
  "e_above_lowest_polymorph_kj_per_mol_atoms": 15.4
}

***

(6)
{
  "formula": "BeNbCoSb",
  "functional": "GGA-PBE",
  "state": "relaxed",
  "lattice": [[0.000, 3.079, 3.079], [3.079, 0.000, 3.079], [3.079, 3.079, 0.000]],
  "species": ["Be", "Co", "Nb", "Sb"],
  "fractional_positions": [[0.250, 0.250, 0.250], [0.750, 0.750, 0.750], [0.500, 0.500, 0.500], [0.000, 0.000, 0.000]],
  "e_above_lowest_polymorph_kj_per_mol_atoms": 0.0
}

***

(7)
{
  "formula": "BeNbCoSb",
  "functional": "GGA-PBE",
  "state": "relaxed",
  "lattice": [[-2.822, -3.257, 0.864], [-3.195, -0.957, -2.863], [0.172, -3.730, -2.319]],
  "species": ["Be", "Co", "Nb", "Sb"],
  "fractional_positions": [[0.500, 0.500, 0.500], [0.750, 0.750, 0.750], [0.250, 0.250, 0.250], [0.000, 0.000, 0.000]],
  "e_above_lowest_polymorph_kj_per_mol_atoms": 2.3
}

***

(8)
{
  "formula": "BeNbCoSi",
  "functional": "GGA-PBE",
  "state": "relaxed",
  "lattice": [[0.000, 2.908, 2.908], [2.908, 0.000, 2.908], [2.908, 2.908, 0.000]],
  "species": ["Be", "Co", "Nb", "Si"],
  "fractional_positions": [[0.250, 0.250, 0.250], [0.750, 0.750, 0.750], [0.500, 0.500, 0.500], [0.000, 0.000, 0.000]],
  "e_above_lowest_polymorph_kj_per_mol_atoms": 1.8
}

***

(9)
{
  "formula": "BeNbCoSi",
  "functional": "GGA-PBE",
  "state": "relaxed",
  "lattice": [[0.000, 2.914, 2.914], [2.914, 0.000, 2.914], [2.914, 2.914, 0.000]],
  "species": ["Be", "Co", "Nb", "Si"],
  "fractional_positions": [[0.500, 0.500, 0.500], [0.750, 0.750, 0.750], [0.250, 0.250, 0.250], [0.000, 0.000, 0.000]],
  "e_above_lowest_polymorph_kj_per_mol_atoms": 0.0
}

***

(10)
{
  "formula": "SrBeNbCo",
  "functional": "GGA-PBE",
  "state": "relaxed",
  "lattice": [[0.000, 3.205, 3.205], [3.205, 0.000, 3.205], [3.205, 3.205, 0.000]],
  "species": ["Be", "Co", "Nb", "Sr"],
  "fractional_positions": [[0.750, 0.750, 0.750], [0.000, 0.000, 0.000], [0.500, 0.500, 0.500], [0.250, 0.250, 0.250]],
  "e_above_lowest_polymorph_kj_per_mol_atoms": 31.3
}

***

(11)
{
  "formula": "SrBeNbCo",
  "functional": "GGA-PBE",
  "state": "relaxed",
  "lattice": [[-4.085, 1.041, 1.987], [-0.997, 4.417, 1.102], [-3.238, 2.329, -2.411]],
  "species": ["Be", "Co", "Nb", "Sr"],
  "fractional_positions": [[0.750, 0.750, 0.750], [0.250, 0.250, 0.250], [0.500, 0.500, 0.500], [0.000, 0.000, 0.000]],
  "e_above_lowest_polymorph_kj_per_mol_atoms": 0.0
}

***

(12)
{
  "formula": "SrBeNbCo",
  "functional": "GGA-PBE",
  "state": "relaxed",
  "lattice": [[-3.595, -2.728, 0.206], [-1.427, -1.559, 3.993], [-3.880, 1.506, 1.757]],
  "species": ["Be", "Co", "Nb", "Sr"],
  "fractional_positions": [[0.750, 0.750, 0.750], [0.500, 0.500, 0.500], [0.250, 0.250, 0.250], [0.000, 0.000, 0.000]],
  "e_above_lowest_polymorph_kj_per_mol_atoms": 3.6
}

***

(13)
{
  "formula": "NdBeCo",
  "functional": "GGA-PBE",
  "state": "relaxed",
  "lattice": [[-2.929, -2.837, 1.151], [-1.038, -0.435, 4.085], [-3.789, 1.306, 1.374]],
  "species": ["Be", "Co", "Nd"],
  "fractional_positions": [[0.000, 0.000, 0.000], [0.250, 0.250, 0.250], [0.750, 0.750, 0.750]],
  "e_above_lowest_polymorph_kj_per_mol_atoms": 9.0
}

***

(14)
{
  "formula": "NdBeCo",
  "functional": "GGA-PBE",
  "state": "relaxed",
  "lattice": [[0.000, 3.055, 3.055], [3.055, 0.000, 3.055], [3.055, 3.055, 0.000]],
  "species": ["Be", "Co", "Nd"],
  "fractional_positions": [[0.250, 0.250, 0.250], [0.000, 0.000, 0.000], [0.750, 0.750, 0.750]],
  "e_above_lowest_polymorph_kj_per_mol_atoms": 0.0
}

***

(15)
{
  "formula": "Be2CoNi",
  "functional": "GGA-PBE",
  "state": "relaxed",
  "lattice": [[5.176, 0.000, 0.000], [0.000, 3.660, 0.000], [0.000, 0.000, 7.319]],
  "species": ["Be", "Be", "Be", "Be", "Be", "Be", "Be", "Be", "Co", "Co", "Co", "Co", "Ni", "Ni", "Ni", "Ni"],
  "fractional_positions": [[0.500, 0.750, 0.125], [0.000, 0.750, 0.125], [0.500, 0.250, 0.375], [0.000, 0.250, 0.375], [0.000, 0.750, 0.625], [0.500, 0.750, 0.625], [0.000, 0.250, 0.875], [0.500, 0.250, 0.875], [0.750, 0.250, 0.125], [0.250, 0.750, 0.375], [0.750, 0.250, 0.625], [0.250, 0.750, 0.875], [0.250, 0.250, 0.125], [0.750, 0.750, 0.375], [0.250, 0.250, 0.625], [0.750, 0.750, 0.875]],
  "e_above_lowest_polymorph_kj_per_mol_atoms": 0.0
}

***

(16)
{
  "formula": "Be2CoNi",
  "functional": "GGA-PBE",
  "state": "relaxed",
  "lattice": [[-3.634, 0.175, -0.401], [-0.613, -2.673, 4.388], [-0.176, 9.387, 5.695]],
  "species": ["Be", "Be", "Be", "Be", "Be", "Be", "Be", "Be", "Be", "Be", "Be", "Be", "Co", "Co", "Co", "Co", "Co", "Co", "Ni", "Ni", "Ni", "Ni", "Ni", "Ni"],
  "fractional_positions": [[0.500, 0.250, 0.000], [0.500, 0.750, 0.000], [0.000, 0.250, 0.167], [0.000, 0.750, 0.167], [0.500, 0.250, 0.333], [0.500, 0.750, 0.333], [0.000, 0.250, 0.500], [0.000, 0.750, 0.500], [0.500, 0.250, 0.667], [0.500, 0.750, 0.667], [0.000, 0.250, 0.833], [0.000, 0.750, 0.833], [0.000, 0.000, 0.000], [0.500, 0.500, 0.167], [0.000, 0.000, 0.333], [0.500, 0.500, 0.500], [0.000, 0.000, 0.667], [0.500, 0.500, 0.833], [0.000, 0.500, 0.000], [0.500, 0.000, 0.167], [0.000, 0.500, 0.333], [0.500, 0.000, 0.500], [0.000, 0.500, 0.667], [0.500, 0.000, 0.833]],
  "e_above_lowest_polymorph_kj_per_mol_atoms": 0.0
}

***

(17)
{
  "formula": "Be2CoNi",
  "functional": "GGA-PBE",
  "state": "relaxed",
  "lattice": [[0.000, 2.644, 2.644], [2.644, 0.000, 2.644], [2.644, 2.644, 0.000]],
  "species": ["Be", "Be", "Co", "Ni"],
  "fractional_positions": [[0.000, 0.000, 0.000], [0.750, 0.750, 0.750], [0.250, 0.250, 0.250], [0.500, 0.500, 0.500]],
  "e_above_lowest_polymorph_kj_per_mol_atoms": 28.4
}

***

(18)
{
  "formula": "BeCoNi",
  "functional": "GGA-PBE",
  "state": "relaxed",
  "lattice": [[0.000, 2.499, 2.499], [2.499, 0.000, 2.499], [2.499, 2.499, 0.000]],
  "species": ["Be", "Co", "Ni"],
  "fractional_positions": [[0.000, 0.000, 0.000], [0.250, 0.250, 0.250], [0.750, 0.750, 0.750]],
  "e_above_lowest_polymorph_kj_per_mol_atoms": 0.0
}

***

(19)
{
  "formula": "Be2CoNi",
  "functional": "GGA-PBE",
  "state": "relaxed",
  "lattice": [[-0.650, 4.218, 2.891], [-3.554, -2.471, 2.806], [3.732, -1.662, 3.263]],
  "species": ["Be", "Be", "Be", "Be", "Be", "Be", "Be", "Be", "Co", "Co", "Co", "Co", "Ni", "Ni", "Ni", "Ni"],
  "fractional_positions": [[0.000, 0.500, 0.250], [0.000, 0.000, 0.250], [0.500, 0.500, 0.250], [0.500, 0.000, 0.250], [0.500, 0.500, 0.750], [0.500, 0.000, 0.750], [0.000, 0.500, 0.750], [0.000, 0.000, 0.750], [0.750, 0.250, 0.000], [0.250, 0.750, 0.000], [0.250, 0.750, 0.500], [0.750, 0.250, 0.500], [0.250, 0.250, 0.000], [0.750, 0.750, 0.000], [0.250, 0.250, 0.500], [0.750, 0.750, 0.500]],
  "e_above_lowest_polymorph_kj_per_mol_atoms": 0.0
}

***

(20)
{
  "formula": "BeCoNi",
  "functional": "GGA-PBE",
  "state": "relaxed",
  "lattice": [[-2.472, -2.357, 1.315], [-0.724, -0.082, 3.586], [-3.215, 1.226, 1.246]],
  "species": ["Be", "Co", "Ni"],
  "fractional_positions": [[0.250, 0.250, 0.250], [0.000, 0.000, 0.000], [0.750, 0.750, 0.750]],
  "e_above_lowest_polymorph_kj_per_mol_atoms": 21.4
}